First-principles (GGA-PBE) data for crystalline LaSiIr2 at its relaxed geometry, as listed in Alexandria via LeMat-Bulk.

As for the crystal system: orthorhombic. The calculation puts the raw total energy at -0.270 hartree per atom. For the density, the calculation gives 11.757 g cm⁻³. Its total magnetic moment is 0.0 μB/f.u. The value obtained for the energy relative to the elements, uncorrected is -330 meV per atom.

```
LaSiIr2
1.0
-1.944 2.710 3.696
1.944 -2.710 3.696
1.944 2.710 -3.696
La Si Ir
1 1 2
Direct
0.000 0.000 0.000
0.500 0.500 0.000
0.305 0.805 0.500
0.695 0.195 0.500
```